VASP calculation (PBE-GGA) on a relaxed CrCdSi2 crystal.

a = 4.2525 Å, b = 4.2525 Å, c = 6.1680 Å
α = 61.33°, β = 61.33°, γ = 43.48°
Sites, in units of the cell vectors:
Si1 0.3223 0.3223 0.1611
Si2 0.0420 0.0420 0.8393
Cd1 0.4446 0.4446 0.5128
Cr1 0.6911 0.6911 0.9868

Properties
Total energy   -5.227 eV per atom
E_form (uncorrected)   0.119 eV per atom
Density   5.573 Mg/m³

***

VASP calculation (PBE-GGA) on a relaxed CrCd2Si crystal.

a = 5.2314 Å, b = 5.2314 Å, c = 5.2314 Å
α = 137.25°, β = 129.46°, γ = 68.29°
Sites, in units of the cell vectors:
Cd1 0.7384 0.2384 0.5000
Cd2 0.0150 0.0150 0.0000
Si1 0.2790 0.7790 0.5000
Cr1 0.4676 0.4676 0.0000

Properties
Total energy   -3.842 eV per atom
E_form (uncorrected)   0.377 eV per atom
Density   6.866 Mg/m³